No. 1
Material: AcTb7Tm2
Method: DFT, GGA-PBE
State: relaxed

Properties
Formation energy from the elements, eV per atom: 0.05
Space-group type: Immm
VASP energy, eV per atom: -4.493
Density of states at the Fermi level, states/eV per cell: 16.68
Excess energy over the best structure of this formula in the dataset, eV per atom: 0.000

a = 5.4727 Å, b = 8.9690 Å, c = 9.5611 Å
α = 117.93°, β = 73.39°, γ = 127.64°
Element x y z (fractional)
Ac1 0.0000 0.0000 0.0000
Tb1 0.7549 0.3669 0.2240
Tb2 0.7544 0.1421 0.7756
Tb3 0.0008 0.2038 0.4067
Tb4 0.2451 0.6331 0.7760
Tb5 0.5000 0.5000 0.0000
Tb6 0.9992 0.7962 0.5933
Tb7 0.2456 0.8579 0.2244
Tm1 0.5002 0.3004 0.6016
Tm2 0.4998 0.6996 0.3984



No. 2
Material: Cr5In3Cl12
Method: DFT, GGA-PBE
State: relaxed

Properties
Space-group type: Ia-3d
VASP energy, eV per atom: -4.726
Density of states at the Fermi level, states/eV per cell: 43.64

a = 14.0929 Å, b = 14.0929 Å, c = 14.0929 Å
α = 109.47°, β = 109.47°, γ = 109.47°
Element x y z (fractional)
In1 0.3750 0.7500 0.6250
In2 0.2500 0.1250 0.3750
In3 0.1250 0.8750 0.7500
In4 0.7500 0.8750 0.6250
In5 0.7500 0.3750 0.1250
In6 0.8750 0.1250 0.2500
In7 0.2500 0.6250 0.8750
In8 0.8750 0.7500 0.1250
In9 0.3750 0.6250 0.2500
In10 0.1250 0.2500 0.8750
In11 0.6250 0.2500 0.3750
In12 0.6250 0.3750 0.7500
Cl1 0.5125 0.3238 0.9037
Cl2 0.4201 0.1088 0.5963
Cl3 0.6762 0.1887 0.5799
Cl4 0.6887 0.1088 0.0125
Cl5 0.0963 0.9201 0.1088
Cl6 0.3238 0.5125 0.4037
Cl7 0.4037 0.3912 0.5799
Cl8 0.0125 0.4037 0.8238
Cl9 0.4037 0.0125 0.3238
Cl10 0.0125 0.6088 0.6887
Cl11 0.1088 0.6887 0.5125
Cl12 0.1762 0.0799 0.6887
Cl13 0.9875 0.5963 0.1762
Cl14 0.6088 0.5963 0.9201
Cl15 0.6762 0.4875 0.5963
Cl16 0.0799 0.9037 0.3912
Cl17 0.9875 0.3912 0.3113
Cl18 0.9201 0.8238 0.8113
Cl19 0.8238 0.9037 0.0125
Cl20 0.1887 0.6762 0.0799
Cl21 0.3912 0.4037 0.0799
Cl22 0.3912 0.9875 0.8113
Cl23 0.9037 0.8238 0.5125
Cl24 0.5963 0.9875 0.6762
Cl25 0.4875 0.8113 0.8912
Cl26 0.4875 0.6762 0.0963
Cl27 0.5963 0.6088 0.4201
Cl28 0.0799 0.1762 0.1887
Cl29 0.8238 0.9201 0.3113
Cl30 0.8912 0.3113 0.4875
Cl31 0.1088 0.4201 0.0963
Cl32 0.5799 0.8912 0.4037
Cl33 0.4201 0.3113 0.3238
Cl34 0.9037 0.0799 0.8912
Cl35 0.6887 0.5799 0.1762
Cl36 0.1762 0.0963 0.9875
Cl37 0.0963 0.1762 0.4875
Cl38 0.8113 0.3238 0.9201
Cl39 0.8912 0.5799 0.9037
Cl40 0.1887 0.5125 0.6088
Cl41 0.9201 0.0963 0.6088
Cl42 0.3238 0.8113 0.4201
Cl43 0.5125 0.1887 0.1088
Cl44 0.5799 0.6887 0.6762
Cl45 0.3113 0.4201 0.8238
Cl46 0.6088 0.0125 0.1887
Cl47 0.8113 0.4875 0.3912
Cl48 0.3113 0.8912 0.9875
Cr1 0.3750 0.1250 0.7500
Cr2 0.1250 0.3750 0.2500
Cr3 0.2500 0.8750 0.1250
Cr4 0.0000 0.5000 0.0000
Cr5 0.1250 0.7500 0.3750
Cr6 0.0000 0.5000 0.5000
Cr7 0.5000 0.0000 0.0000
Cr8 0.5000 0.5000 0.5000
Cr9 0.5000 0.5000 0.0000
Cr10 0.0000 0.0000 0.5000
Cr11 0.0000 0.0000 0.0000
Cr12 0.7500 0.1250 0.8750
Cr13 0.8750 0.6250 0.7500
Cr14 0.6250 0.8750 0.2500
Cr15 0.2500 0.3750 0.6250
Cr16 0.8750 0.2500 0.6250
Cr17 0.7500 0.6250 0.3750
Cr18 0.6250 0.7500 0.8750
Cr19 0.5000 0.0000 0.5000
Cr20 0.3750 0.2500 0.1250



No. 3
Material: La3Dy2ErTm6
Method: DFT, GGA-PBE
State: relaxed

Properties
Formation energy from the elements, eV per atom: 0.03
Space-group type: C2/m
VASP energy, eV per atom: -4.587
Density of states at the Fermi level, states/eV per cell: 16.03

a = 6.1814 Å, b = 6.1814 Å, c = 11.7323 Å
α = 95.03°, β = 95.03°, γ = 119.99°
Element x y z (fractional)
Tm1 0.7480 0.7480 0.2442
Tm2 0.4143 0.0812 0.2440
Tm3 0.9188 0.5857 0.7560
Tm4 0.0812 0.4143 0.2440
Tm5 0.2520 0.2520 0.7558
Tm6 0.5857 0.9188 0.7560
Er1 0.0000 0.0000 0.0000
Dy1 0.3335 0.6665 0.0000
Dy2 0.6665 0.3335 0.0000
La1 0.8330 0.1670 0.5000
La2 0.1670 0.8330 0.5000
La3 0.5000 0.5000 0.5000